Entry 1:
Crystalline MnTl3Cd2Cl9 at its relaxed geometry, computed with GGA-PBE.

Cell lengths 7.3268, 7.3268, 8.9617 Å; angles 90.00, 90.00, 120.00 degrees
Site moments in Bohr magnetons follow the coordinates.
Positions (direct):
1 Cd 0.6667 0.3333 0.8245  0.02
2 Cd 0.3333 0.6667 0.1755  0.02
3 Cl 0.6770 0.8385 0.3382  0.03
4 Cl 0.5000 0.0000 0.0000  0.01
5 Cl 0.8385 0.1615 0.6618  0.03
6 Cl 0.1615 0.3230 0.3382  0.03
7 Cl 0.5000 0.5000 0.0000  0.01
8 Cl 0.8385 0.6770 0.6618  0.03
9 Cl 0.0000 0.5000 0.0000  0.01
10 Cl 0.1615 0.8385 0.3382  0.03
11 Cl 0.3230 0.1615 0.6618  0.03
12 Tl 0.0000 0.0000 0.0000  0.00
13 Tl 0.3333 0.6667 0.6775  0.00
14 Tl 0.6667 0.3333 0.3225  0.00
15 Mn 0.0000 0.0000 0.5000  4.38

Calculated values
density: 4.83 g/cm³
formation energy (no corrections): -1.0357 eV per atom
space group: P-3m1

=====

Entry 2:
Crystalline LiEr2ScS4 at its relaxed geometry, computed with GGA-PBE.

Cell lengths 3.7934, 6.6095, 6.5054 Å; angles 109.49, 90.00, 90.00 degrees
Positions (direct):
1 Li 0.5000 0.5000 0.0000
2 Sc 0.0000 0.0000 0.0000
3 Er 0.5000 0.0000 0.5000
4 Er 0.0000 0.5000 0.5000
5 S 0.5000 0.7525 0.7626
6 S 0.0000 0.2530 0.7608
7 S 0.0000 0.7470 0.2392
8 S 0.5000 0.2475 0.2374

Calculated values
density: 5.56 g/cm³
formation energy (no corrections): -1.8951 eV per atom
D(E_F): 2.66 states/eV/f.u.
space group: P2/m

=====

Entry 3:
Crystalline Th3AlNi4 at its relaxed geometry, computed with GGA-PBE.

Cell lengths 3.9282, 6.0644, 7.8708 Å; angles 112.75, 104.45, 90.00 degrees
Positions (direct):
1 Ni 0.3795 0.1752 0.7589
2 Ni 0.6205 0.8248 0.2411
3 Ni 0.3793 0.5827 0.7587
4 Ni 0.6207 0.4173 0.2413
5 Th 0.8077 0.8074 0.6154
6 Th 0.0000 0.5000 0.0000
7 Th 0.1923 0.1926 0.3846
8 Al 0.5000 0.0000 0.0000

Calculated values
ΔE_f: -0.395 eV per atom
density: 9.56 g/cm³
D(E_F): 7.13 states/eV/f.u.
space group: C2/m

=====

Entry 4:
Crystalline PmZn11Ga at its relaxed geometry, computed with GGA-PBE.

Cell lengths 5.2754, 6.8328, 6.8498 Å; angles 81.46, 67.35, 67.31 degrees
Positions (direct):
1 Zn 0.6523 0.3542 0.3586
2 Zn 0.0109 0.3542 0.6414
3 Zn 0.7231 0.7833 0.7800
4 Zn 0.4969 0.2167 0.7800
5 Zn 0.3477 0.6458 0.6414
6 Zn 0.5000 0.0000 0.5000
7 Zn 0.9891 0.6458 0.3586
8 Zn 0.5031 0.7833 0.2200
9 Zn 0.0000 0.0000 0.5000
10 Zn 0.2769 0.2167 0.2200
11 Zn 0.0000 0.5000 0.0000
12 Ga 0.5000 0.5000 0.0000
13 Pm 0.0000 0.0000 0.0000

Calculated values
ΔE_f: -0.177 eV per atom
density: 7.38 g/cm³
D(E_F): 2.40 states/eV/f.u.
space group: C2/m

=====

Entry 5:
Crystalline KRb3N at its relaxed geometry, computed with GGA-PBE.

Cell lengths 7.5969, 7.5969, 7.5969 Å; angles 90.00, 90.00, 90.00 degrees
Positions (direct):
1 Rb 0.5000 0.0000 0.0000
2 Rb 0.0000 0.5000 0.0000
3 Rb 0.0000 0.0000 0.5000
4 K 0.0000 0.0000 0.0000
5 N 0.5000 0.5000 0.5000

Calculated values
density: 1.17 g/cm³
formation energy (no corrections): 1.4362 eV per atom
D(E_F): 15.97 states/eV/f.u.
excess energy over the best structure of this formula in the dataset: 883 meV per atom
space group: Pm-3m

=====

Entry 6:
Crystalline LiMg6Cu at its relaxed geometry, computed with GGA-PBE.

Cell lengths 6.1923, 6.1923, 4.8463 Å; angles 90.00, 90.00, 119.36 degrees
Positions (direct):
1 Mg 0.6667 0.8356 0.5000
2 Mg 0.8310 0.1690 0.0000
3 Mg 0.1644 0.3333 0.5000
4 Mg 0.8447 0.6673 0.0000
5 Mg 0.3281 0.6719 0.0000
6 Mg 0.3327 0.1553 0.0000
7 Cu 0.1660 0.8340 0.5000
8 Li 0.6663 0.3337 0.5000

Calculated values
ΔE_f: -0.001 eV per atom
density: 2.22 g/cm³
D(E_F): 1.65 states/eV/f.u.
excess energy over the best structure of this formula in the dataset: 44 meV per atom
space group: Amm2

=====

Entry 7:
Crystalline Sr2DyCu2S4 at its relaxed geometry, computed with GGA-PBE.

Cell lengths 3.8750, 7.1595, 7.4644 Å; angles 109.59, 105.04, 90.00 degrees
Positions (direct):
1 Cu 0.3167 0.0016 0.6335
2 Cu 0.6833 0.9984 0.3665
3 Dy 0.0000 0.0000 0.0000
4 S 0.4745 0.2523 0.9490
5 S 0.2042 0.2069 0.4083
6 S 0.5255 0.7477 0.0510
7 S 0.7958 0.7931 0.5917
8 Sr 0.1338 0.5705 0.2676
9 Sr 0.8662 0.4295 0.7324

Calculated values
density: 5.25 g/cm³
formation energy (no corrections): -1.3565 eV per atom
D(E_F): 3.81 states/eV/f.u.
space group: C2/m

=====

Entry 8:
Crystalline NbGaRu at its relaxed geometry, computed with GGA-PBE.

Cell lengths 4.5350, 3.0919, 13.4642 Å; angles 90.00, 96.76, 90.00 degrees
Positions (direct):
1 Ru 0.5366 0.5000 0.4445
2 Ru 0.9782 0.5000 0.2762
3 Ru 0.5366 0.0000 0.9445
4 Ru 0.9782 0.0000 0.7762
5 Nb 0.4851 0.0000 0.2863
6 Nb 0.0454 0.5000 0.6050
7 Nb 0.0454 0.0000 0.1050
8 Nb 0.4851 0.5000 0.7863
9 Ga 0.5441 0.0000 0.6099
10 Ga 0.0395 0.0000 0.4343
11 Ga 0.5441 0.5000 0.1099
12 Ga 0.0395 0.5000 0.9343

Calculated values
ΔE_f: -0.298 eV per atom
density: 9.34 g/cm³
D(E_F): 1.72 states/eV/f.u.
space group: Cm

=====

Entry 9:
Crystalline CsSmAgTe3 at its relaxed geometry, computed with GGA-PBE.

Cell lengths 4.4180, 9.2678, 11.5149 Å; angles 90.00, 90.00, 103.79 degrees
Positions (direct):
1 Te 0.9285 0.8571 0.2500
2 Te 0.3800 0.7600 0.5541
3 Te 0.0715 0.1429 0.7500
4 Te 0.6200 0.2400 0.4459
5 Te 0.3800 0.7600 0.9459
6 Te 0.6200 0.2400 0.0541
7 Ag 0.5284 0.0568 0.2500
8 Ag 0.4716 0.9432 0.7500
9 Cs 0.7508 0.5016 0.7500
10 Cs 0.2492 0.4984 0.2500
11 Sm 0.0000 0.0000 0.5000
12 Sm 0.0000 0.0000 0.0000

Calculated values
density: 5.61 g/cm³
formation energy (no corrections): -0.9358 eV per atom
D(E_F): 4.60 states/eV/f.u.
space group: Cmcm

=====

Entry 10:
Crystalline CaPtPb2 at its relaxed geometry, computed with GGA-PBE.

Cell lengths 3.6190, 3.6190, 7.6941 Å; angles 90.00, 90.00, 90.00 degrees
Positions (direct):
1 Ca 0.5000 0.5000 0.7500
2 Pt 0.5000 0.5000 0.2500
3 Pb 0.0000 0.0000 0.0426
4 Pb 0.0000 0.0000 0.4574

Calculated values
ΔE_f: -0.247 eV per atom
density: 10.70 g/cm³
D(E_F): 1.37 states/eV/f.u.
space group: P4/mmm